# PBE Tb6PmEr3Th2, optimized geometry
# formation energy	33	meV per atom
data_Tb6PmEr3Th2
_chemical_formula_sum 'Tb12 Pm2 Er6 Th4'
_cell_length_a 6.177
_cell_length_b 10.685
_cell_length_c 11.782
_cell_angle_alpha 90.00
_cell_angle_beta 100.06
_cell_angle_gamma 90.00
_space_group_name_H-M_alt 'C 1 2/m 1'
_space_group_IT_number 12
loop_
_space_group_symop_operation_xyz
'x,y,z'
'-x,-y,-z'
'-x,y,-z'
'x,-y,z'
'x+1/2,y+1/2,z'
'-x+1/2,-y+1/2,-z'
'-x+1/2,y+1/2,-z'
'x+1/2,-y+1/2,z'
loop_
_atom_site_label
_atom_site_type_symbol
_atom_site_fract_x
_atom_site_fract_y
_atom_site_fract_z
Tb1 Tb 0.246 0.000 0.250
Tb2 Tb 0.247 0.169 0.750
Pm1 Pm 0.000 0.500 0.000
Er1 Er 0.000 0.000 0.500
Er2 Er 0.000 0.334 0.500
Th1 Th 0.000 0.167 0.000

***

# PBE Np2CuSb4, optimized geometry
# E_tot	-6.88	eV/atom
data_Np2CuSb4
_chemical_formula_sum 'Np2 Cu1 Sb4'
_cell_length_a 4.358
_cell_length_b 4.358
_cell_length_c 9.226
_cell_angle_alpha 90.00
_cell_angle_beta 90.00
_cell_angle_gamma 90.00
_space_group_name_H-M_alt 'P -4 m 2'
_space_group_IT_number 115
loop_
_space_group_symop_operation_xyz
'x,y,z'
'y,-x,-z'
'-x,-y,z'
'-y,x,-z'
'-x,y,z'
'-y,-x,-z'
'x,-y,z'
'y,x,-z'
loop_
_atom_site_label
_atom_site_type_symbol
_atom_site_fract_x
_atom_site_fract_y
_atom_site_fract_z
Np1 Np 0.000 0.500 0.235
Cu1 Cu 0.500 0.500 0.000
Sb1 Sb 0.000 0.000 0.500
Sb2 Sb 0.000 0.500 0.845
Sb3 Sb 0.500 0.500 0.500

***

# PBE LaSiBiPb2, optimized geometry
# E_tot	-4.16	eV/atom
data_LaSiBiPb2
_chemical_formula_sum 'La1 Si1 Bi1 Pb2'
_cell_length_a 5.390
_cell_length_b 5.390
_cell_length_c 5.558
_cell_angle_alpha 90.00
_cell_angle_beta 90.00
_cell_angle_gamma 90.00
_space_group_name_H-M_alt 'P 4/m m m'
_space_group_IT_number 123
_space_group_name_Hall '-P 4 2'
loop_
_atom_site_label
_atom_site_type_symbol
_atom_site_fract_x
_atom_site_fract_y
_atom_site_fract_z
La1 La 0.000 0.000 0.000
Si1 Si 0.500 0.500 0.500
Bi1 Bi 0.500 0.500 0.000
Pb1 Pb 0.000 0.500 0.500

***

| no. | total magnetic moment (μB/f.u.) |
| --- | --- |
| 1 | 0.0 |
| 2 | 7.2 |
| 3 | 0.0 |